(1)
Crystalline LiCaRe2Ge at its relaxed geometry, computed with PBEsol.

```
data_LiCaRe2Ge
_symmetry_space_group_name_H-M 'P 4/m m m'
_symmetry_Int_Tables_number 123
_symmetry_space_group_name_Hall '-P 4 2'
_cell_length_a 4.6189
_cell_length_b 4.6189
_cell_length_c 4.6763
_cell_angle_alpha 90.00
_cell_angle_beta 90.00
_cell_angle_gamma 90.00
loop_
_atom_site_label
_atom_site_type_symbol
_atom_site_fract_x
_atom_site_fract_y
_atom_site_fract_z
Li1 Li 0.0000 0.0000 0.0000
Ca1 Ca 0.5000 0.5000 0.0000
Re1 Re 0.0000 0.5000 0.5000
Ge1 Ge 0.0000 0.0000 0.5000
```

ΔH_f (0 K) in kJ per mole of atoms: 87.11
Total DFT energy (no corrections) in eV/cell: -31.19
Mass density in Mg/m³: 8.2
Crystal system: tetragonal

(2)
Crystalline LiCa2GeS at its relaxed geometry, computed with PBEsol.

```
data_LiCa2GeS
_symmetry_space_group_name_H-M 'P 4/m m m'
_symmetry_Int_Tables_number 123
_symmetry_space_group_name_Hall '-P 4 2'
_cell_length_a 5.4452
_cell_length_b 5.4452
_cell_length_c 4.5474
_cell_angle_alpha 90.00
_cell_angle_beta 90.00
_cell_angle_gamma 90.00
loop_
_atom_site_label
_atom_site_type_symbol
_atom_site_fract_x
_atom_site_fract_y
_atom_site_fract_z
Li1 Li 0.0000 0.0000 0.0000
Ca1 Ca 0.0000 0.5000 0.5000
Ge1 Ge 0.0000 0.0000 0.5000
S1 S 0.5000 0.5000 0.0000
```

Total DFT energy (no corrections) in eV/cell: -17.88
Mass density in Mg/m³: 2.4
E_form (uncorrected) in meV per atom: -465.7
Crystal system: tetragonal

(3)
Crystalline Ca2Mn2Ge at its relaxed geometry, computed with PBEsol.

```
data_Ca2Mn2Ge
_symmetry_space_group_name_H-M 'I 4/m m m'
_symmetry_Int_Tables_number 139
_symmetry_space_group_name_Hall '-I 4 2'
_cell_length_a 5.6472
_cell_length_b 5.6472
_cell_length_c 7.0611
_cell_angle_alpha 90.00
_cell_angle_beta 90.00
_cell_angle_gamma 90.00
loop_
_atom_site_label
_atom_site_type_symbol
_atom_site_fract_x
_atom_site_fract_y
_atom_site_fract_z
Ca1 Ca 0.0000 0.5000 0.2500
Mn1 Mn 0.0000 0.0000 0.1609
Ge1 Ge 0.0000 0.0000 0.5000
```

ΔH_f (0 K) in kJ per mole of atoms: 53.42
Total DFT energy (no corrections) in eV/cell: -51.92
Mass density in Mg/m³: 3.9
Crystal system: tetragonal

(4)
Crystalline CaMn2Ge2 at its relaxed geometry, computed with PBEsol.

```
data_CaMn2Ge2
_symmetry_space_group_name_H-M 'I 4/m m m'
_symmetry_Int_Tables_number 139
_symmetry_space_group_name_Hall '-I 4 2'
_cell_length_a 3.9288
_cell_length_b 3.9288
_cell_length_c 10.7796
_cell_angle_alpha 90.00
_cell_angle_beta 90.00
_cell_angle_gamma 90.00
loop_
_atom_site_label
_atom_site_type_symbol
_atom_site_fract_x
_atom_site_fract_y
_atom_site_fract_z
Ca1 Ca 0.0000 0.0000 0.0000
Mn1 Mn 0.0000 0.5000 0.2500
Ge1 Ge 0.0000 0.0000 0.3767
```

ΔH_f (0 K) in kJ per mole of atoms: -31.06
Total DFT energy (no corrections) in eV/cell: -66.29
Mass density in Mg/m³: 5.9
Crystal system: tetragonal

(5)
Crystalline CaMnGe at its relaxed geometry, computed with PBEsol.

```
data_CaMnGe
_symmetry_space_group_name_H-M 'P 4/n m m'
_symmetry_Int_Tables_number 129
_cell_length_a 3.9297
_cell_length_b 3.9297
_cell_length_c 7.5418
_cell_angle_alpha 90.00
_cell_angle_beta 90.00
_cell_angle_gamma 90.00
loop_
_symmetry_equiv_pos_as_xyz
'x,y,z'
'-x,-y,-z'
'-y+1/2,x,z'
'y+1/2,-x,-z'
'-x+1/2,-y+1/2,z'
'x+1/2,y+1/2,-z'
'y,-x+1/2,z'
'-y,x+1/2,-z'
'x+1/2,-y,-z'
'-x+1/2,y,z'
'-y,-x,-z'
'y,x,z'
'-x,y+1/2,-z'
'x,-y+1/2,z'
'y+1/2,x+1/2,-z'
'-y+1/2,-x+1/2,z'
loop_
_atom_site_label
_atom_site_type_symbol
_atom_site_fract_x
_atom_site_fract_y
_atom_site_fract_z
Ca1 Ca 0.2500 0.2500 0.1696
Mn1 Mn 0.2500 0.7500 0.5000
Ge1 Ge 0.2500 0.2500 0.6937
```

ΔH_f (0 K) in kJ per mole of atoms: -32.29
Total DFT energy (no corrections) in eV/cell: -35.67
Mass density in Mg/m³: 4.8
Crystal system: tetragonal

(6)
Crystalline CaMnGe2O6 at its relaxed geometry, computed with PBEsol.

```
data_CaMnGe2O6
_symmetry_space_group_name_H-M 'C 1 2/c 1'
_symmetry_Int_Tables_number 15
_symmetry_space_group_name_Hall '-C 2yc'
_cell_length_a 10.2760
_cell_length_b 9.0266
_cell_length_c 5.4441
_cell_angle_alpha 90.00
_cell_angle_beta 103.98
_cell_angle_gamma 90.00
loop_
_atom_site_label
_atom_site_type_symbol
_atom_site_fract_x
_atom_site_fract_y
_atom_site_fract_z
Ca1 Ca 0.0000 0.1928 0.2500
Mn1 Mn 0.0000 0.4075 0.7500
Ge1 Ge 0.2153 0.0992 0.7675
O1 O 0.1107 0.4044 0.1384
O2 O 0.1340 0.2602 0.6469
O3 O 0.1418 0.0334 0.0179
```

Total DFT energy (no corrections) in eV/cell: -291.15
Mass density in Mg/m³: 4.6
E_form (uncorrected) in meV per atom: -1952.0
Crystal system: monoclinic

Which value of mass density does entry 4 give? 5.9 Mg/m³

What is the total DFT energy (no corrections) in the sixth record? -291.15 eV/cell

Among the records above, which one has the lowest mass density? LiCa2GeS

Which of these has the lowest mass density? LiCa2GeS